Here is crystalline Pm2Y6Ho3Zr at its relaxed geometry from Alexandria. Energies are from GGA-PBE.

```
Pm2Y6Ho3Zr
1.0
6.123 0.003 0.005
-3.057 5.305 0.005
-1.024 -1.773 11.530
Y Pm Zr Ho
6 2 1 3
direct
0.082 0.409 0.247
0.756 0.756 0.247
0.591 0.918 0.753
0.409 0.082 0.247
0.918 0.591 0.753
0.244 0.244 0.753
0.667 0.333 0.000
0.333 0.667 0.000
0.000 0.000 0.000
0.500 0.500 0.500
0.834 0.166 0.500
0.166 0.834 0.500
```

Values from the calculation:
As for the energy of formation: 55 meV per atom.

---

Here is crystalline Pm2Y3Ho6Zr at its relaxed geometry from Alexandria. Energies are from GGA-PBE.

```
Pm2Y3Ho6Zr
1.0
6.102 0.003 0.004
-3.047 5.287 0.004
-1.020 -1.766 11.495
Ho Zr Pm Y
6 1 2 3
direct
0.918 0.591 0.754
0.244 0.244 0.754
0.756 0.756 0.246
0.082 0.409 0.246
0.409 0.082 0.246
0.591 0.918 0.754
0.000 0.000 0.000
0.333 0.667 0.000
0.667 0.333 0.000
0.500 0.500 0.500
0.834 0.166 0.500
0.166 0.834 0.500
```

Values from the calculation:
As for the energy of formation: 52 meV per atom.

---

Here is crystalline Pm3Y2Ho6Zr at its relaxed geometry from Alexandria. Energies are from GGA-PBE.

```
Pm3Y2Ho6Zr
1.0
-0.701 -2.354 -5.606
-2.017 -3.089 4.883
-9.296 7.017 -0.675
Y Zr Ho Pm
2 1 6 3
direct
0.667 0.333 0.000
0.333 0.667 0.000
0.000 0.000 0.000
0.594 0.920 0.757
0.920 0.594 0.757
0.406 0.080 0.243
0.755 0.755 0.243
0.245 0.245 0.757
0.080 0.406 0.243
0.166 0.834 0.500
0.834 0.166 0.500
0.500 0.500 0.500
```

Values from the calculation:
As for the energy of formation: 45 meV per atom.

---

Here is crystalline Pm2HoZn2 at its relaxed geometry from Alexandria. Energies are from GGA-PBE.

```
Pm2HoZn2
1.0
4.387 0.000 0.000
0.000 4.543 -0.248
0.000 -1.612 13.375
Pm Ho Zn
4 2 4
direct
0.250 0.943 0.889
0.750 0.736 0.472
0.750 0.057 0.111
0.250 0.264 0.528
0.250 0.636 0.271
0.750 0.364 0.729
0.750 0.165 0.333
0.250 0.525 0.051
0.750 0.475 0.949
0.250 0.835 0.667
```

Values from the calculation:
As for the energy of formation: -143 meV per atom. For the energy above the lowest structure with this stoichiometry, the calculation gives 53 meV/atom.

---

Here is crystalline PmHo5Zn6 at its relaxed geometry from Alexandria. Energies are from GGA-PBE.

```
PmHo5Zn6
1.0
4.777 -0.029 1.593
0.039 7.167 0.013
-0.002 -0.014 7.976
Zn Pm Ho
6 1 5
direct
0.830 0.745 0.339
0.500 0.745 0.000
0.500 0.255 0.000
0.170 0.255 0.661
0.830 0.255 0.339
0.170 0.745 0.661
0.000 0.000 0.000
0.332 0.000 0.336
0.668 0.000 0.664
0.665 0.500 0.670
0.000 0.500 0.000
0.335 0.500 0.330
```

Values from the calculation:
As for the energy of formation: -336 meV per atom.

---

Here is crystalline Pm2HoZn at its relaxed geometry from Alexandria. Energies are from GGA-PBE.

```
Pm2HoZn
1.0
-2.375 4.384 2.111
-5.170 -0.224 1.594
-1.216 0.145 5.275
Pm Ho Zn
2 1 1
direct
0.750 0.750 0.750
0.250 0.250 0.250
0.000 0.000 0.000
0.500 0.500 0.500
```

Values from the calculation:
As for the energy of formation: 28 meV per atom. For the energy above the lowest structure with this stoichiometry, the calculation gives 185 meV/atom.

---

Here is crystalline Pm2HoZn at its relaxed geometry from Alexandria. Energies are from GGA-PBE.

```
Pm2HoZn
1.0
3.646 0.000 0.000
1.823 3.158 0.000
1.823 1.053 10.422
Pm Ho Zn
2 1 1
direct
0.260 0.260 0.220
0.073 0.073 0.780
0.500 0.500 0.500
0.667 0.667 0.000
```

Values from the calculation:
As for the energy of formation: -27 meV per atom. For the energy above the lowest structure with this stoichiometry, the calculation gives 130 meV/atom.

---

Here is crystalline PmHo2Zn at its relaxed geometry from Alexandria. Energies are from GGA-PBE.

```
PmHo2Zn
1.0
-0.495 -3.094 3.595
-3.418 -2.259 -2.415
3.270 -2.828 -1.983
Pm Ho Zn
1 2 1
direct
0.500 0.500 0.500
0.000 0.500 0.000
0.000 0.000 0.500
0.500 0.000 0.000
```

Values from the calculation:
As for the energy of formation: -30 meV per atom. For the energy above the lowest structure with this stoichiometry, the calculation gives 134 meV/atom.

---

Here is crystalline PmHo6Zn at its relaxed geometry from Alexandria. Energies are from GGA-PBE.

```
PmHo6Zn
1.0
8.351 0.547 -0.297
4.611 8.033 0.050
4.131 2.942 3.637
Ho Zn Pm
6 1 1
direct
0.765 0.954 0.858
0.577 0.235 0.233
0.954 0.577 0.704
0.423 0.765 0.767
0.235 0.046 0.142
0.046 0.423 0.296
0.000 0.000 0.000
0.500 0.500 0.500
```

Values from the calculation:
As for the energy of formation: 46 meV per atom.

---

Here is crystalline Pm2HoZn at its relaxed geometry from Alexandria. Energies are from GGA-PBE.

```
Pm2HoZn
1.0
-1.500 1.705 2.844
-3.251 -0.143 -1.629
-1.554 -7.659 3.771
Zn Pm Ho
1 2 1
direct
0.500 0.500 0.000
0.000 0.000 0.211
0.000 0.000 0.789
0.500 0.500 0.500
```

Values from the calculation:
As for the energy of formation: -144 meV per atom. For the energy above the lowest structure with this stoichiometry, the calculation gives 13 meV/atom.

---

Here is crystalline Pm2HoZn at its relaxed geometry from Alexandria. Energies are from GGA-PBE.

```
Pm2HoZn
1.0
4.930 0.000 -1.367
-0.379 4.915 -1.367
-0.039 -0.043 9.429
Zn Pm Ho
2 4 2
direct
0.250 0.750 0.500
0.750 0.250 0.500
0.000 0.500 0.000
0.645 0.645 0.290
0.355 0.355 0.710
0.500 0.000 0.000
0.150 0.150 0.299
0.850 0.850 0.701
```

Values from the calculation:
As for the energy of formation: -157 meV per atom. For the energy above the lowest structure with this stoichiometry, the calculation gives 0 meV/atom.

---

Here is crystalline Pm3Ho4Zn4 at its relaxed geometry from Alexandria. Energies are from GGA-PBE.

```
Pm3Ho4Zn4
1.0
5.069 0.000 0.000
0.000 7.174 0.000
-2.534 -3.587 8.042
Zn Pm Ho
4 3 4
direct
0.500 0.819 0.000
0.810 0.310 0.620
0.500 0.181 0.000
0.190 0.690 0.380
0.895 0.895 0.791
0.105 0.105 0.209
0.000 0.500 0.000
0.677 0.450 0.355
0.323 0.550 0.645
0.677 0.905 0.355
0.323 0.095 0.645
```

Values from the calculation:
As for the energy of formation: -138 meV per atom.

---

Q: Among the records above, which one has the highest energy of formation?
A: Pm2Y6Ho3Zr

---

Q: Look up the energy of formation of the sixth one.
A: 28 meV per atom

---

Repeat the twelfth record exactly.
Here is crystalline Pm3Ho4Zn4 at its relaxed geometry from Alexandria. Energies are from GGA-PBE.

```
Pm3Ho4Zn4
1.0
5.069 0.000 0.000
0.000 7.174 0.000
-2.534 -3.587 8.042
Zn Pm Ho
4 3 4
direct
0.500 0.819 0.000
0.810 0.310 0.620
0.500 0.181 0.000
0.190 0.690 0.380
0.895 0.895 0.791
0.105 0.105 0.209
0.000 0.500 0.000
0.677 0.450 0.355
0.323 0.550 0.645
0.677 0.905 0.355
0.323 0.095 0.645
```

Values from the calculation:
As for the energy of formation: -138 meV per atom.